Computed, not measured: CaCdSe4 after structural relaxation at the GGA-PBEsol level of DFT.

```
CaCdSe4
1.0
5.789 0.000 0.000
2.894 5.013 0.000
2.894 1.671 4.726
Se Ca Cd
4 1 1
Cartesian
5.789 5.026 1.768 Se
4.330 2.500 1.768 Se
5.789 3.342 4.149 Se
7.247 2.500 1.768 Se
8.683 5.013 3.545 Ca
0.000 0.000 0.000 Cd
```

The energy is -19.9 eV/cell. The value obtained for the size of the total moment is 0.000 Bohr magnetons per cell. As for the space group: F-43m. Its density of states at the Fermi level is 0.383 states/eV/atom. The value obtained for the raw formation energy is -0.1974 eV/atom.

---

Computed, not measured: CaCd3Si after structural relaxation at the GGA-PBEsol level of DFT.

```
CaCd3Si
1.0
-3.899 2.014 -2.582
0.462 -3.637 -3.533
-3.242 -2.940 2.602
Cd Si Ca
3 1 1
Cartesian
-1.621 -1.470 1.301 Cd
-1.949 1.007 -1.291 Cd
0.231 -1.818 -1.767 Cd
0.000 0.000 0.000 Si
-3.339 -2.281 -1.757 Ca
```

The energy is -10.5 eV/cell. The value obtained for the size of the total moment is 0.000 Bohr magnetons per cell. As for the space group: Pm-3m. Its density of states at the Fermi level is 0.537 states/eV/atom. The value obtained for the raw formation energy is 0.1865 eV/atom.

---

Computed, not measured: Ca2CdSn after structural relaxation at the GGA-PBEsol level of DFT.

```
Ca2CdSn
1.0
5.328 0.000 0.000
2.664 4.614 0.000
2.664 1.538 4.350
Ca Cd Sn
2 1 1
Cartesian
2.664 1.538 1.088 Ca
7.992 4.614 3.263 Ca
0.000 0.000 0.000 Cd
5.328 3.076 2.175 Sn
```

The energy is -12.1 eV/cell. The value obtained for the formation energy is -2.4 eV/f.u. The value obtained for the size of the total moment is 0.000 Bohr magnetons per cell. As for the space group: Fm-3m. Its density of states at the Fermi level is 0.247 states/eV/atom.

---

Computed, not measured: Ca2Cd2Sn after structural relaxation at the GGA-PBEsol level of DFT.

```
Ca2Cd2Sn
1.0
-0.847 2.214 -3.138
-3.840 -0.432 0.732
2.502 6.689 6.506
Cd Sn Ca
2 1 2
Cartesian
-1.841 3.574 3.018 Cd
-0.344 4.897 1.082 Cd
0.000 0.000 0.000 Sn
-2.312 2.384 -0.159 Ca
0.127 6.087 4.259 Ca
```

The energy is -12.3 eV/cell. The value obtained for the formation energy is -1.4 eV/f.u. The value obtained for the size of the total moment is 0.000 Bohr magnetons per cell. As for the space group: I4/mmm. Its density of states at the Fermi level is 0.728 states/eV/atom.